Pm3Pr2Tl | PBE | optimized geometry

```
data_Pm3Pr2Tl
_space_group_name_H-M_alt 'P 1'
_space_group_IT_number 1
_space_group_name_Hall 'P 1'
_cell_length_a 8.229
_cell_length_b 8.229
_cell_length_c 5.013
_cell_angle_alpha 90.00
_cell_angle_beta 90.00
_cell_angle_gamma 144.77
loop_
_atom_site_label
_atom_site_type_symbol
_atom_site_fract_x
_atom_site_fract_y
_atom_site_fract_z
Pm1 Pm 0.000 0.000 0.000
Pm2 Pm 0.337 0.663 0.000
Pm3 Pm 0.663 0.337 0.000
Pr1 Pr 0.163 0.837 0.500
Pr2 Pr 0.837 0.163 0.500
Tl1 Tl 0.500 0.500 0.500
```

For the magnetization, the calculation gives 0.00 μB per formula unit. For the volume, the calculation gives 32.63 Å³/atom. The space group is Cmmm (65). The density of states at the Fermi level comes out at 7.800 states/eV per cell. The value obtained for the formation enthalpy at 0 K is -105 meV/atom.

***

Pm3PrTl4 | PBE | optimized geometry

```
data_Pm3PrTl4
_space_group_name_H-M_alt 'P 1'
_space_group_IT_number 1
_space_group_name_Hall 'P 1'
_cell_length_a 3.894
_cell_length_b 3.894
_cell_length_c 15.586
_cell_angle_alpha 90.00
_cell_angle_beta 90.00
_cell_angle_gamma 90.00
loop_
_atom_site_label
_atom_site_type_symbol
_atom_site_fract_x
_atom_site_fract_y
_atom_site_fract_z
Pm1 Pm 0.000 0.000 0.000
Pm2 Pm 0.000 0.000 0.248
Pm3 Pm 0.000 0.000 0.752
Pr1 Pr 0.000 0.000 0.500
Tl1 Tl 0.500 0.500 0.124
Tl2 Tl 0.500 0.500 0.371
Tl3 Tl 0.500 0.500 0.629
Tl4 Tl 0.500 0.500 0.876
```

For the magnetization, the calculation gives 0.00 μB per formula unit. For the volume, the calculation gives 29.54 Å³/atom. The space group is P4/mmm (123). The density of states at the Fermi level comes out at 7.210 states/eV per cell. The value obtained for the formation enthalpy at 0 K is -393 meV/atom.

***

PmPr6Tl5 | PBE | optimized geometry

```
data_PmPr6Tl5
_space_group_name_H-M_alt 'P 1'
_space_group_IT_number 1
_space_group_name_Hall 'P 1'
_cell_length_a 8.540
_cell_length_b 8.540
_cell_length_c 8.804
_cell_angle_alpha 90.00
_cell_angle_beta 90.00
_cell_angle_gamma 144.33
loop_
_atom_site_label
_atom_site_type_symbol
_atom_site_fract_x
_atom_site_fract_y
_atom_site_fract_z
Pm1 Pm 0.000 0.000 0.000
Pr1 Pr 0.174 0.826 0.247
Pr2 Pr 0.174 0.826 0.753
Pr3 Pr 0.500 0.500 0.272
Pr4 Pr 0.500 0.500 0.728
Pr5 Pr 0.826 0.174 0.247
Pr6 Pr 0.826 0.174 0.753
Tl1 Tl 0.000 0.000 0.500
Tl2 Tl 0.330 0.670 0.500
Tl3 Tl 0.355 0.645 0.000
Tl4 Tl 0.645 0.355 0.000
Tl5 Tl 0.670 0.330 0.500
```

For the magnetization, the calculation gives 0.00 μB per formula unit. For the volume, the calculation gives 31.20 Å³/atom. The space group is Cmmm (65). The density of states at the Fermi level comes out at 14.787 states/eV per cell. The value obtained for the formation enthalpy at 0 K is -295 meV/atom.

***

> Look up the volume of the third one.

31.20 Å³/atom

***

> Which formula does entry 3 have?

PmPr6Tl5